Cr2CdFe (GGA-PBE, relaxed); SG = P4/mmm; E = -6.76 eV/atom
1.0
3.119 0.000 0.000
0.000 3.119 0.000
0.000 0.000 5.803
Cr Cd Fe
2 1 1
Cartesian
0.000 0.000 1.046 Cr
0.000 0.000 4.756 Cr
1.559 1.559 2.901 Cd
1.559 1.559 0.000 Fe

=====

CrCd2Fe (GGA-PBE, relaxed); SG = C2/m; E above lowest polymorph = 294 meV per atom
1.0
4.749 -1.459 0.000
4.749 1.459 0.000
-0.923 0.000 5.001
Cr Cd Fe
1 2 1
Cartesian
0.000 0.000 0.000 Cr
1.658 0.000 3.727 Cd
6.917 0.000 1.274 Cd
4.288 0.000 2.500 Fe

=====

Table of D(E_F) (states/eV/atom), in record order: 0.954, 1.252